# 1
Dy4Tm5Th3: optimized geometry, PBE.

Cell: 17.5554 5.6810 8.5915 Å, 90.00 115.21 90.00°
Last column: nearest neighbours and their distance in Å.
Space group C2/m (No. 12)
One atom of each set of equivalent atoms:
Dy  0.0419  0.0000  0.2021 x4  1 Tm 2.95, 2 Dy 3.14-3.29
Dy  0.2175  0.0000  0.1526 x4  3 Th 3.26-3.39, 1 Dy 3.29, 3 Tm 3.49-3.54
Tm  0.0000  0.0000  0.5000 x2  4 Th 2.84-2.97, 2 Dy 2.95
Tm  0.0947  0.5000  0.9501 x4  2 Th 3.50-3.69, 2 Tm 3.53-3.77, 7 Dy 3.54-3.91
Tm  0.1665  0.5000  0.4010 x4  2 Th 3.31-3.37, 3 Dy 3.49-3.55, 1 Tm 3.53
Th  0.0000  0.5000  0.5000 x2  2 Tm 2.84
Th  0.1825  0.0000  0.7335 x4  2 Tm 2.97-3.31, 2 Dy 3.26

Computed properties:
Raw total energy = -117.05 eV for the cell shown
Total moment = 0.0 μB/f.u.
Theoretical density = 9385 kg/m3
Energy of formation from the pure elements = 375 meV per atom

=====

# 2
Dy4TmTh2: optimized geometry, PBE.

Cell: 6.0671 3.5595 10.9792 Å, 90.00 99.24 90.00°
Last column: nearest neighbours and their distance in Å.
Space group P2/m (No. 10)
One atom of each set of equivalent atoms:
Dy  0.0813  0.0000  0.2111 x2  6 Dy 3.55-3.56, 2 Tm 3.70-3.90, 3 Th 3.73-3.74
Dy  0.4056  0.5000  0.7434 x2  2 Tm 3.30, 3 Th 3.33-3.34, 6 Dy 3.55-3.56
Tm  0.5000  0.0000  0.0000 x1  4 Dy 3.30, 2 Tm 3.56
Th  0.0000  0.5000  0.5000 x1  2 Dy 3.33, 6 Th 3.52-3.56
Th  0.5000  0.0000  0.5000 x1  6 Dy 3.34-3.73, 6 Th 3.52-3.56

Computed properties:
Raw total energy = -36.38 eV for the cell shown
Total moment = 0.0 μB/f.u.
Theoretical density = 9103 kg/m3
Energy of formation from the pure elements = 191 meV per atom
Distance to the lowest polymorph of the same formula = 0 meV per atom

=====

# 3
Dy4Tm2Th: optimized geometry, PBE.

Cell: 3.5719 3.5719 59.7138 Å, 90.00 90.00 120.00°
Last column: nearest neighbours and their distance in Å.
Space group R3m (No. 160, hexagonal axes)
One atom of each set of equivalent atoms:
Dy  0.0000  0.0000  0.0000 x3  3 Tm 3.48, 9 Dy 3.53-3.57
Dy  0.0000  0.0000  0.0937 x3  6 Tm 3.47-3.50, 6 Dy 3.57
Dy  0.0000  0.0000  0.5216 x3  3 Tm 3.50, 3 Th 3.56, 6 Dy 3.57
Dy  0.0000  0.0000  0.6188 x3  9 Dy 3.53-3.57, 3 Th 3.55
Tm  0.0000  0.0000  0.7136 x3  6 Dy 3.47-3.48, 6 Tm 3.57
Tm  0.0000  0.0000  0.8076 x3  6 Dy 3.50, 6 Tm 3.57
Th  0.0000  0.0000  0.9036 x3  6 Dy 3.55-3.56, 6 Th 3.57

Computed properties:
Raw total energy = -103.82 eV for the cell shown
Total moment = 0.0 μB/f.u.
Theoretical density = 9212 kg/m3
Energy of formation from the pure elements = 24 meV per atom
Distance to the lowest polymorph of the same formula = 0 meV per atom

=====

# 4
Dy6TmTh: optimized geometry, PBE.

Cell: 6.5545 6.6406 6.7363 Å, 60.58 84.75 87.37°
Last column: nearest neighbours and their distance in Å.
Space group P-1 (No. 2)
One atom of each set of equivalent atoms:
Dy  0.2403  0.0621  0.0274 x2  6 Dy 3.27-3.50, 1 Th 3.63
Dy  0.2491  0.0263  0.5279 x2  6 Dy 3.22-3.53, 1 Tm 3.41, 1 Th 3.53
Dy  0.2538  0.5610  0.0152 x2  6 Dy 3.22-3.53, 1 Tm 3.37
Tm  0.0000  0.5000  0.5000 x1  2 Th 3.28, 4 Dy 3.37-3.41
Th  0.5000  0.5000  0.5000 x1  2 Tm 3.28, 6 Dy 3.53-3.63

Computed properties:
Raw total energy = -37.76 eV for the cell shown
Total moment = 0.0 μB/f.u.
Theoretical density = 8984 kg/m3
Energy of formation from the pure elements = 218 meV per atom
Distance to the lowest polymorph of the same formula = 184 meV per atom